The following is a DFT calculation (PBE-GGA) of an optimized crystal structure of Cr2HgMo.

```
data_Cr2HgMo
_chemical_formula_sum 'Cr2 Hg1 Mo1'
_space_group_name_H-M_alt 'P 1'
_space_group_IT_number 1
_cell_length_a 3.225
_cell_length_b 3.225
_cell_length_c 5.927
_cell_angle_alpha 90.00
_cell_angle_beta 90.00
_cell_angle_gamma 90.00
loop_
_space_group_symop_operation_xyz
'x,y,z'
loop_
_atom_site_label
_atom_site_fract_x
_atom_site_fract_y
_atom_site_fract_z
Cr1 0.000 0.000 0.197
Cr2 0.000 0.000 0.803
Hg1 0.500 0.500 0.500
Mo1 0.500 0.500 0.000
```

The formation energy is 0.4160 eV/atom. The value obtained for the density of states at the Fermi level is 0.685 states/eV per atom.